(w)
The following is a DFT calculation (PBE-GGA) of a relaxed ZrAg3Cl crystal.

abc: 4.9473 4.9473 4.9473
angles: 90.00 90.00 90.00
With the nearest neighbours (Å) after each atom.
Positions (direct):
Zr (0.0000, 0.0000, 0.0000)  12 Ag 3.50
Ag (0.0000, 0.5000, 0.5000)  2 Cl 2.47
Ag (0.5000, 0.0000, 0.5000)  2 Cl 2.47
Ag (0.5000, 0.5000, 0.0000)  2 Cl 2.47
Cl (0.5000, 0.5000, 0.5000)  6 Ag 2.47

(x)
The following is a DFT calculation (PBE-GGA) of a relaxed ZrAg3Cl crystal.

abc: 5.4327 5.4327 5.4327
angles: 90.00 90.00 90.00
With the nearest neighbours (Å) after each atom.
Positions (direct):
Zr (0.0000, 0.0000, 0.0000)  6 Ag 2.72
Ag (0.0000, 0.0000, 0.5000)  2 Zr 2.72
Ag (0.0000, 0.5000, 0.0000)  2 Zr 2.72
Ag (0.5000, 0.0000, 0.0000)  2 Zr 2.72
Cl (0.5000, 0.5000, 0.5000)  12 Ag 3.84

Going by the computed energies, the most stable comes first: (w), (x).

(w)
The following is a DFT calculation (PBE-GGA) of a relaxed Co5Ag3 crystal.

abc: 7.7988 7.7988 4.4350
angles: 90.00 90.00 120.00
With the nearest neighbours (Å) after each atom.
Positions (direct):
Co (0.0000, 0.1771, 0.2500)  6 Co 2.39-2.61, 2 Ag 2.64
Co (0.0000, 0.8229, 0.7500)  6 Co 2.39-2.61, 2 Ag 2.64
Co (0.1771, 0.0000, 0.2500)  6 Co 2.39-2.61, 2 Ag 2.64
Co (0.1771, 0.1771, 0.7500)  6 Co 2.39-2.61, 2 Ag 2.64
Co (0.3333, 0.6667, 0.0000)  2 Co 2.22
Co (0.3333, 0.6667, 0.5000)  2 Co 2.22
Co (0.6667, 0.3333, 0.0000)  2 Co 2.22
Co (0.6667, 0.3333, 0.5000)  2 Co 2.22
Co (0.8229, 0.0000, 0.7500)  6 Co 2.39-2.61, 2 Ag 2.64
Co (0.8229, 0.8229, 0.2500)  6 Co 2.39-2.61, 2 Ag 2.64
Ag (0.0000, 0.3898, 0.7500)  8 Co 2.64-2.77, 2 Ag 2.81
Ag (0.0000, 0.6102, 0.2500)  8 Co 2.64-2.77, 2 Ag 2.81
Ag (0.3898, 0.0000, 0.7500)  8 Co 2.64-2.77, 2 Ag 2.81
Ag (0.3898, 0.3898, 0.2500)  8 Co 2.64-2.77, 2 Ag 2.81
Ag (0.6102, 0.0000, 0.2500)  8 Co 2.64-2.77, 2 Ag 2.81
Ag (0.6102, 0.6102, 0.7500)  8 Co 2.64-2.77, 2 Ag 2.81

(x)
The following is a DFT calculation (PBE-GGA) of a relaxed Co5Ag3 crystal.

abc: 7.4911 7.4911 7.5903
angles: 94.99 94.99 144.34
With the nearest neighbours (Å) after each atom.
Positions (direct):
Co (0.0546, 0.7865, 0.8392)  4 Co 2.34-2.62, 1 Ag 2.58
Co (0.2135, 0.9454, 0.1608)  4 Co 2.34-2.62, 1 Ag 2.58
Co (0.2619, 0.2619, 0.0264)  6 Co 2.32-2.45
Co (0.2628, 0.4236, 0.7361)  3 Co 2.29-2.45, 1 Ag 2.55
Co (0.4236, 0.2628, 0.7361)  3 Co 2.29-2.45, 1 Ag 2.55
Co (0.5764, 0.7372, 0.2639)  3 Co 2.29-2.45, 1 Ag 2.55
Co (0.7372, 0.5764, 0.2639)  3 Co 2.29-2.45, 1 Ag 2.55
Co (0.7381, 0.7381, 0.9736)  6 Co 2.32-2.45
Co (0.7865, 0.0546, 0.8392)  4 Co 2.34-2.62, 1 Ag 2.58
Co (0.9454, 0.2135, 0.1608)  4 Co 2.34-2.62, 1 Ag 2.58
Ag (0.2061, 0.2061, 0.3981)  8 Co 2.58-2.80, 2 Ag 2.70-2.76
Ag (0.3022, 0.6978, 0.0000)  8 Co 2.55-2.75, 2 Ag 2.74
Ag (0.3046, 0.6954, 0.5000)  4 Co 2.67-2.88, 2 Ag 2.77
Ag (0.6954, 0.3046, 0.5000)  4 Co 2.67-2.88, 2 Ag 2.77
Ag (0.6978, 0.3022, 0.0000)  8 Co 2.55-2.75, 2 Ag 2.74
Ag (0.7939, 0.7939, 0.6019)  8 Co 2.58-2.80, 2 Ag 2.70-2.76

Going by the computed energies, the most stable comes first: (x), (w).

(w)
The following is a DFT calculation (PBE-GGA) of a relaxed CrCo2Ag crystal.

abc: 4.5795 4.5795 4.5795
angles: 131.86 131.86 70.45
With the nearest neighbours (Å) after each atom.
Positions (direct):
Cr (0.0000, 0.0000, 0.0000)  4 Ag 2.64, 8 Co 2.64
Co (0.2500, 0.7500, 0.5000)  4 Co 2.64, 4 Ag 2.64, 4 Cr 2.64
Co (0.7500, 0.2500, 0.5000)  4 Co 2.64, 4 Ag 2.64, 4 Cr 2.64
Ag (0.5000, 0.5000, 0.0000)  4 Cr 2.64, 8 Co 2.64

(x)
The following is a DFT calculation (PBE-GGA) of a relaxed CrCo2Ag crystal.

abc: 8.7022 8.7022 8.7022
angles: 17.27 17.27 17.27
With the nearest neighbours (Å) after each atom.
Positions (direct):
Cr (0.0000, 0.0000, 0.0000)  6 Co 2.44, 6 Cr 2.61
Co (0.2590, 0.2590, 0.2590)  3 Cr 2.44, 6 Co 2.61
Co (0.7410, 0.7410, 0.7410)  3 Cr 2.44, 6 Co 2.61
Ag (0.5000, 0.5000, 0.5000)  6 Ag 2.61, 6 Co 2.81

Going by the computed energies, the most stable comes first: (x), (w).

(w)
The following is a DFT calculation (PBE-GGA) of a relaxed CrCo2Ag crystal.

abc: 4.2641 4.2641 4.2641
angles: 60.00 60.00 60.00
With the nearest neighbours (Å) after each atom.
Positions (direct):
Cr (0.0000, 0.0000, 0.0000)  4 Co 2.61, 4 Ag 2.61
Co (0.2500, 0.2500, 0.2500)  4 Cr 2.61, 4 Co 2.61
Co (0.5000, 0.5000, 0.5000)  4 Co 2.61, 4 Ag 2.61
Ag (0.7500, 0.7500, 0.7500)  4 Co 2.61, 4 Cr 2.61

(x)
The following is a DFT calculation (PBE-GGA) of a relaxed CrCo2Ag crystal.

abc: 4.1511 4.1511 4.1511
angles: 60.00 60.00 60.00
With the nearest neighbours (Å) after each atom.
Positions (direct):
Cr (0.0000, 0.0000, 0.0000)  8 Co 2.54
Co (0.2500, 0.2500, 0.2500)  4 Cr 2.54, 4 Ag 2.54
Co (0.7500, 0.7500, 0.7500)  4 Cr 2.54, 4 Ag 2.54
Ag (0.5000, 0.5000, 0.5000)  8 Co 2.54

Going by the computed energies, the most stable comes first: (x), (w).

(w)
The following is a DFT calculation (PBE-GGA) of a relaxed CrCo2Ag crystal.

abc: 2.5634 2.5634 8.4271
angles: 90.00 90.00 110.45
With the nearest neighbours (Å) after each atom.
Positions (direct):
Cr (0.0000, 0.0000, 0.0000)  4 Co 2.38, 4 Cr 2.56
Co (0.5000, 0.5000, 0.2230)  2 Cr 2.38, 4 Co 2.56
Co (0.5000, 0.5000, 0.7770)  2 Cr 2.38, 4 Co 2.56
Ag (0.0000, 0.0000, 0.5000)  4 Ag 2.56, 4 Co 2.75

(x)
The following is a DFT calculation (PBE-GGA) of a relaxed CrCo2Ag crystal.

abc: 4.9302 4.9302 4.9302
angles: 147.39 126.18 64.37
With the nearest neighbours (Å) after each atom.
Positions (direct):
Cr (0.0000, 0.0000, 0.0000)  4 Co 2.32
Co (0.2237, 0.7237, 0.5000)  2 Cr 2.32
Co (0.7763, 0.2763, 0.5000)  2 Cr 2.32
Ag (0.5000, 0.5000, 0.0000)  4 Cr 2.63, 8 Co 2.69-2.91, 2 Ag 2.77

Going by the computed energies, the most stable comes first: (w), (x).

(w)
The following is a DFT calculation (PBE-GGA) of a relaxed CrCo2Ag crystal.

abc: 3.0381 4.2326 4.2555
angles: 90.00 90.00 90.00
With the nearest neighbours (Å) after each atom.
Positions (direct):
Cr (0.0000, 0.0000, 0.0000)  4 Ag 2.61, 4 Co 2.61
Co (0.0000, 0.5000, 0.5000)  4 Co 2.61, 4 Ag 2.61
Co (0.5000, 0.0000, 0.5000)  4 Co 2.61, 4 Cr 2.61
Ag (0.5000, 0.5000, 0.0000)  4 Cr 2.61, 4 Co 2.61

(x)
The following is a DFT calculation (PBE-GGA) of a relaxed CrCo2Ag crystal.

abc: 2.9841 2.9841 5.9570
angles: 90.00 90.00 90.00
With the nearest neighbours (Å) after each atom.
Positions (direct):
Cr (0.0000, 0.0000, 0.0000)  5 Co 2.41-2.46
Co (0.0000, 0.0000, 0.5951)  4 Co 2.40, 1 Cr 2.41
Co (0.5000, 0.5000, 0.7872)  4 Co 2.40, 4 Cr 2.46
Ag (0.5000, 0.5000, 0.3034)  5 Co 2.73-2.88, 4 Cr 2.78, 4 Ag 2.98

(y)
The following is a DFT calculation (PBE-GGA) of a relaxed CrCo2Ag crystal.

abc: 4.5381 4.5381 4.5955
angles: 100.53 100.53 33.84
With the nearest neighbours (Å) after each atom.
Positions (direct):
Cr (0.0000, 0.0000, 0.0000)  5 Co 2.42-2.58, 2 Cr 2.64, 1 Ag 2.68
Co (0.4775, 0.4775, 0.4300)  2 Cr 2.42, 5 Co 2.49-2.70, 3 Ag 2.63-2.70
Co (0.7424, 0.7424, 0.2030)  5 Co 2.49-2.70, 3 Cr 2.51-2.58, 4 Ag 2.65
Ag (0.2368, 0.2368, 0.7010)  7 Co 2.63-2.70, 2 Ag 2.64, 3 Cr 2.68-2.77

Going by the computed energies, the most stable comes first: (x), (y), (w).

(w)
The following is a DFT calculation (PBE-GGA) of a relaxed CrCoAg crystal.

abc: 5.8483 5.8483 5.8483
angles: 153.18 153.18 38.30
With the nearest neighbours (Å) after each atom.
Positions (direct):
Cr (0.0000, 0.0000, 0.0000)  4 Co 2.35
Co (0.3774, 0.3774, 0.0000)  4 Cr 2.35
Ag (0.6926, 0.6926, 0.0000)  4 Ag 2.71, 4 Co 2.80, 4 Cr 2.86

(x)
The following is a DFT calculation (PBE-GGA) of a relaxed CrCoAg crystal.

abc: 2.6482 2.6482 6.6338
angles: 90.00 90.00 120.00
With the nearest neighbours (Å) after each atom.
Positions (direct):
Cr (0.0000, 0.0000, 0.0000)  3 Co 2.38, 6 Cr 2.65
Co (0.6667, 0.3333, 0.7260)  3 Cr 2.38, 6 Co 2.65
Ag (0.3333, 0.6667, 0.3690)  6 Ag 2.65, 3 Co 2.82, 3 Cr 2.89

(y)
The following is a DFT calculation (PBE-GGA) of a relaxed CrCoAg crystal.

abc: 6.8287 6.6581 2.5938
angles: 82.63 75.24 22.13
With the nearest neighbours (Å) after each atom.
Positions (direct):
Cr (0.0000, 0.0000, 0.0000)  2 Co 2.33, 4 Cr 2.59
Co (0.6385, 0.6385, 0.3615)  2 Cr 2.33, 4 Co 2.59
Ag (0.3174, 0.3174, 0.6826)  4 Ag 2.59, 2 Co 2.76, 2 Cr 2.80

(z)
The following is a DFT calculation (PBE-GGA) of a relaxed CrCoAg crystal.

abc: 4.1240 4.1240 4.1240
angles: 60.00 60.00 60.00
With the nearest neighbours (Å) after each atom.
Positions (direct):
Cr (0.0000, 0.0000, 0.0000)  4 Co 2.53
Co (0.7500, 0.7500, 0.7500)  4 Cr 2.53, 4 Ag 2.53
Ag (0.5000, 0.5000, 0.5000)  4 Co 2.53

Going by the computed energies, the most stable comes first: (w), (x), (y), (z).

(w)
The following is a DFT calculation (PBE-GGA) of a relaxed CrCo3Ag crystal.

abc: 4.1934 4.1934 4.1934
angles: 90.00 90.00 90.00
With the nearest neighbours (Å) after each atom.
Positions (direct):
Cr (0.0000, 0.0000, 0.0000)  6 Co 2.10
Co (0.0000, 0.0000, 0.5000)  2 Cr 2.10
Co (0.0000, 0.5000, 0.0000)  2 Cr 2.10
Co (0.5000, 0.0000, 0.0000)  2 Cr 2.10
Ag (0.5000, 0.5000, 0.5000)  12 Co 2.97

(x)
The following is a DFT calculation (PBE-GGA) of a relaxed CrCo3Ag crystal.

abc: 4.5522 4.5522 4.5522
angles: 90.00 90.00 90.00
With the nearest neighbours (Å) after each atom.
Positions (direct):
Cr (0.0000, 0.0000, 0.0000)  12 Co 3.22
Co (0.0000, 0.5000, 0.5000)  2 Ag 2.28
Co (0.5000, 0.0000, 0.5000)  2 Ag 2.28
Co (0.5000, 0.5000, 0.0000)  2 Ag 2.28
Ag (0.5000, 0.5000, 0.5000)  6 Co 2.28

Going by the computed energies, the most stable comes first: (w), (x).

(w)
The following is a DFT calculation (PBE-GGA) of a relaxed CoCuAg2 crystal.

abc: 4.8123 4.8123 4.8188
angles: 101.31 101.31 32.90
With the nearest neighbours (Å) after each atom.
Positions (direct):
Co (0.0000, 0.0000, 0.0000)  2 Cu 2.58, 7 Ag 2.72-2.83, 2 Co 2.73
Cu (0.2717, 0.2717, 0.7602)  2 Co 2.58, 7 Ag 2.70-2.84, 2 Cu 2.73
Ag (0.5174, 0.5174, 0.5204)  4 Co 2.72-2.83, 5 Ag 2.73-2.89, 3 Cu 2.75-2.76
Ag (0.7528, 0.7528, 0.2358)  4 Cu 2.70-2.84, 5 Ag 2.73-2.89, 3 Co 2.74-2.75

(x)
The following is a DFT calculation (PBE-GGA) of a relaxed CoCuAg2 crystal.

abc: 2.7506 3.8287 5.6424
angles: 90.00 90.00 90.00
With the nearest neighbours (Å) after each atom.
Positions (direct):
Co (0.0000, 0.0000, 0.0000)  8 Ag 2.74, 2 Co 2.75, 2 Cu 2.82
Cu (0.0000, 0.0000, 0.5000)  8 Ag 2.75, 2 Cu 2.75, 2 Co 2.82
Ag (0.5000, 0.5000, 0.2488)  4 Co 2.74, 4 Cu 2.75, 4 Ag 2.75-2.84
Ag (0.5000, 0.5000, 0.7512)  4 Co 2.74, 4 Cu 2.75, 4 Ag 2.75-2.84

Going by the computed energies, the most stable comes first: (w), (x).

(w)
The following is a DFT calculation (PBE-GGA) of a relaxed CoCuAg2 crystal.

abc: 4.7792 4.7792 4.7792
angles: 131.67 131.67 70.75
With the nearest neighbours (Å) after each atom.
Positions (direct):
Co (0.0000, 0.0000, 0.0000)  4 Cu 2.76, 8 Ag 2.76-2.77
Cu (0.2500, 0.7500, 0.5000)  4 Co 2.76, 8 Ag 2.76-2.77
Ag (0.5000, 0.5000, 0.0000)  4 Cu 2.76, 4 Ag 2.76, 4 Co 2.77
Ag (0.7500, 0.2500, 0.5000)  4 Co 2.76, 4 Ag 2.76, 4 Cu 2.77

(x)
The following is a DFT calculation (PBE-GGA) of a relaxed CoCuAg2 crystal.

abc: 5.3670 5.3670 5.3670
angles: 150.03 128.79 60.48
With the nearest neighbours (Å) after each atom.
Positions (direct):
Co (0.0000, 0.0000, 0.0000)  2 Cu 2.46, 6 Ag 2.72-2.73
Cu (0.2196, 0.7196, 0.5000)  2 Co 2.46, 6 Ag 2.71
Ag (0.4705, 0.4705, 0.0000)  2 Cu 2.71, 4 Co 2.72, 4 Ag 2.78-2.91
Ag (0.7461, 0.2461, 0.5000)  4 Cu 2.71, 2 Co 2.73, 4 Ag 2.78-2.91

Going by the computed energies, the most stable comes first: (x), (w).

(w)
The following is a DFT calculation (PBE-GGA) of a relaxed CoCuAg2 crystal.

abc: 4.6113 4.6113 2.8093
angles: 90.00 90.00 90.00
With the nearest neighbours (Å) after each atom.
Positions (direct):
Co (0.0000, 0.0000, 0.0000)  8 Ag 2.70, 2 Co 2.81
Cu (0.5000, 0.5000, 0.0000)  8 Ag 2.70, 2 Cu 2.81
Ag (0.0000, 0.5000, 0.5000)  4 Cu 2.70, 4 Co 2.70, 2 Ag 2.81
Ag (0.5000, 0.0000, 0.5000)  4 Cu 2.70, 4 Co 2.70, 2 Ag 2.81

(x)
The following is a DFT calculation (PBE-GGA) of a relaxed CoCuAg2 crystal.

abc: 4.7358 4.7358 4.8828
angles: 99.13 99.13 33.58
With the nearest neighbours (Å) after each atom.
Positions (direct):
Co (0.0000, 0.0000, 0.0000)  2 Co 2.74, 6 Ag 2.75, 4 Cu 2.80
Cu (0.5000, 0.5000, 0.5000)  2 Cu 2.74, 6 Ag 2.75-2.76, 4 Co 2.80
Ag (0.2504, 0.2504, 0.7509)  6 Ag 2.74-2.81, 3 Cu 2.75-2.76, 3 Co 2.75
Ag (0.7496, 0.7496, 0.2491)  6 Ag 2.74-2.81, 3 Cu 2.75-2.76, 3 Co 2.75

Going by the computed energies, the most stable comes first: (x), (w).

(w)
The following is a DFT calculation (PBE-GGA) of a relaxed CoCuAg2 crystal.

abc: 4.3838 4.3838 4.3838
angles: 60.00 60.00 60.00
With the nearest neighbours (Å) after each atom.
Positions (direct):
Co (0.0000, 0.0000, 0.0000)  8 Ag 2.68
Cu (0.5000, 0.5000, 0.5000)  8 Ag 2.68
Ag (0.2500, 0.2500, 0.2500)  4 Cu 2.68, 4 Co 2.68
Ag (0.7500, 0.7500, 0.7500)  4 Co 2.68, 4 Cu 2.68

(x)
The following is a DFT calculation (PBE-GGA) of a relaxed CoCuAg2 crystal.

abc: 2.6916 2.6916 9.0062
angles: 90.00 90.00 112.72
With the nearest neighbours (Å) after each atom.
Positions (direct):
Co (0.0000, 0.0000, 0.0000)  6 Co 2.69-2.98, 4 Ag 2.70
Cu (0.0000, 0.0000, 0.5000)  6 Cu 2.69-2.98, 4 Ag 2.70
Ag (0.5000, 0.5000, 0.2501)  6 Ag 2.69-2.98, 2 Cu 2.70, 2 Co 2.70
Ag (0.5000, 0.5000, 0.7499)  6 Ag 2.69-2.98, 2 Cu 2.70, 2 Co 2.70

Going by the computed energies, the most stable comes first: (x), (w).